[1]
The following is a DFT calculation (PBE-GGA) of a relaxed structure of Sr8MgZn2.

a = 10.2586 Å, b = 15.0551 Å, c = 6.3778 Å
α = 90.00°, β = 105.46°, γ = 90.00°
Space group Cm (No. 8)
Symmetry-distinct sites (fractional):
Sr  0.0000  0.0000  0.0000 x2
Sr  0.0735  0.3699  0.7833 x4
Sr  0.1814  0.1299  0.6071 x4
Sr  0.2528  0.5000  0.3889 x2
Sr  0.3776  0.2412  0.1952 x4
Mg  0.3758  0.0000  0.1948 x2
Zn  0.3773  0.3153  0.6946 x4

---

[2]
The following is a DFT calculation (PBE-GGA) of a relaxed structure of SrMg2Zn.

a = 4.5549 Å, b = 4.5549 Å, c = 22.7815 Å
α = 90.00°, β = 90.00°, γ = 90.00°
Space group I-42d (No. 122)
Symmetry-distinct sites (fractional):
Sr  0.0000  0.0000  0.0000 x4
Mg  0.2116  0.2500  0.6250 x8
Zn  0.0000  0.0000  0.5000 x4

---

[3]
The following is a DFT calculation (PBE-GGA) of a relaxed structure of SrMg3Zn.

a = 5.1833 Å, b = 5.1833 Å, c = 5.1833 Å
α = 90.00°, β = 90.00°, γ = 90.00°
Space group Pm-3m (No. 221)
Symmetry-distinct sites (fractional):
Sr  0.0000  0.0000  0.0000 x1
Mg  0.0000  0.5000  0.5000 x3
Zn  0.5000  0.5000  0.5000 x1

---

[4]
The following is a DFT calculation (PBE-GGA) of a relaxed structure of Sr2Mg2Zn.

a = 4.1432 Å, b = 4.1432 Å, c = 19.7898 Å
α = 90.00°, β = 90.00°, γ = 90.00°
Space group I4/mmm (No. 139)
Symmetry-distinct sites (fractional):
Sr  0.0000  0.0000  0.0947 x4
Mg  0.0000  0.5000  0.2500 x4
Zn  0.0000  0.0000  0.5000 x2

---

[5]
The following is a DFT calculation (PBE-GGA) of a relaxed structure of Sr3Mg5Zn6.

a = 4.5585 Å, b = 10.6797 Å, c = 13.8670 Å
α = 90.00°, β = 90.00°, γ = 90.00°
Space group Immm (No. 71)
Symmetry-distinct sites (fractional):
Sr  0.0000  0.0000  0.0000 x2
Sr  0.0000  0.0000  0.3162 x4
Mg  0.0000  0.3351  0.3176 x8
Mg  0.0000  0.5000  0.0000 x2
Zn  0.0000  0.2133  0.5000 x4
Zn  0.0000  0.2820  0.1055 x8

---

[6]
The following is a DFT calculation (PBE-GGA) of a relaxed structure of SrMg14Zn.

a = 10.4150 Å, b = 6.3461 Å, c = 11.6626 Å
α = 90.00°, β = 90.00°, γ = 90.00°
Space group Amm2 (No. 38)
Symmetry-distinct sites (fractional):
Sr  0.0000  0.0000  0.0000 x2
Mg  0.0000  0.2455  0.2492 x4
Mg  0.2277  0.0000  0.6332 x4
Mg  0.2570  0.2483  0.3917 x8
Mg  0.2648  0.0000  0.1515 x4
Mg  0.5000  0.0000  0.4842 x2
Mg  0.5000  0.0000  0.9817 x2
Mg  0.5000  0.2427  0.7311 x4
Zn  0.0000  0.0000  0.4607 x2

---

[7]
The following is a DFT calculation (PBE-GGA) of a relaxed structure of Sr12MgZn5.

a = 10.7964 Å, b = 11.2819 Å, c = 11.7478 Å
α = 90.00°, β = 90.00°, γ = 90.00°
Space group Immm (No. 71)
Symmetry-distinct sites (fractional):
Sr  0.0000  0.1885  0.2386 x8
Sr  0.1896  0.5000  0.1699 x8
Sr  0.2253  0.3215  0.5000 x8
Mg  0.0000  0.0000  0.5000 x2
Zn  0.0000  0.0000  0.0000 x2
Zn  0.0000  0.3433  0.0000 x4
Zn  0.0000  0.5000  0.3891 x4

---

[8]
The following is a DFT calculation (PBE-GGA) of a relaxed structure of Sr4MgZn.

a = 4.0412 Å, b = 4.0412 Å, c = 14.6706 Å
α = 90.00°, β = 90.00°, γ = 90.00°
Space group P4/mmm (No. 123)
Symmetry-distinct sites (fractional):
Sr  0.0000  0.0000  0.1288 x2
Sr  0.5000  0.5000  0.3512 x2
Mg  0.0000  0.0000  0.5000 x1
Zn  0.5000  0.5000  0.0000 x1

---

| no. | formation energy (kJ/mol of formula units) |
| --- | --- |
| 1 | -29 |
| 2 | 55 |
| 3 | 9 |
| 4 | 24 |
| 5 | -202 |
| 6 | 40 |
| 7 | -170 |
| 8 | -47 |